(1)
# PBE Na2AsO4, optimized geometry
data_Na2AsO4
_chemical_formula_sum 'Na4 As2 O8'
_cell_length_a 10.746
_cell_length_b 2.869
_cell_length_c 6.194
_cell_angle_alpha 90.00
_cell_angle_beta 120.46
_cell_angle_gamma 90.00
_space_group_name_H-M_alt 'C 1 2/m 1'
_space_group_IT_number 12
loop_
_space_group_symop_operation_xyz
'x,y,z'
'-x,-y,-z'
'-x,y,-z'
'x,-y,z'
'x+1/2,y+1/2,z'
'-x+1/2,-y+1/2,-z'
'-x+1/2,y+1/2,-z'
'x+1/2,-y+1/2,z'
loop_
_atom_site_label
_atom_site_type_symbol
_atom_site_fract_x
_atom_site_fract_y
_atom_site_fract_z
Na1 Na 0.154 0.000 0.175
As1 As 0.000 0.500 0.500
O1 O 0.031 0.500 0.813
O2 O 0.137 0.000 0.584
# **Formation energy from raw total energies**: -1256 meV/atom
# **Energy relative to the lowest polymorph listed for this composition**: 23.7 meV per atom
# **Spin magnetization**: 2.0 μB per cell
# **Fermi-level density of states**: 8.8 states/eV per cell

(2)
# PBE NaAsO6, optimized geometry
data_NaAsO6
_chemical_formula_sum 'Na2 As2 O12'
_cell_length_a 6.359
_cell_length_b 4.669
_cell_length_c 10.737
_cell_angle_alpha 90.00
_cell_angle_beta 105.97
_cell_angle_gamma 90.00
_space_group_name_H-M_alt 'P 1 21 1'
_space_group_IT_number 4
loop_
_space_group_symop_operation_xyz
'x,y,z'
'-x,y+1/2,-z'
loop_
_atom_site_label
_atom_site_type_symbol
_atom_site_fract_x
_atom_site_fract_y
_atom_site_fract_z
Na1 Na 0.029 0.000 0.405
As1 As 0.382 0.527 0.400
O1 O 0.124 0.492 0.423
O2 O 0.148 0.037 0.114
O3 O 0.249 0.816 0.104
O4 O 0.279 0.635 0.808
O5 O 0.371 0.871 0.829
O6 O 0.427 0.914 0.441
# **Formation energy from raw total energies**: -713 meV/atom
# **Energy relative to the lowest polymorph listed for this composition**: 0.0 meV per atom
# **Spin magnetization**: 8.0 μB per cell
# **Fermi-level density of states**: 1.4 states/eV per cell

Question: Which of these has the highest energy relative to the lowest polymorph listed for this composition?
Answer: Na2AsO4

Question: Among the records above, which one has the lowest energy relative to the lowest polymorph listed for this composition?
Answer: NaAsO6

Question: Number 2 is which compound?
Answer: NaAsO6

Question: Which of these has the lowest energy relative to the lowest polymorph listed for this composition?
Answer: NaAsO6